# 1
Computed, not measured: ScTl2Re after structural relaxation at the PBEsol level of DFT.

Properties
- formation energy from the elements (kcal/mol of atoms) = 9.9
- calculated volume (Å³/cell) = 77
- distance to the lowest polymorph of the same formula (eV per atom) = 0.0854

abc: 4.1775 4.1775 5.3335
angles: 113.06 113.06 90.00
Last column: nearest neighbours and their distance in Å.
Fractional coordinates of all 4 atoms:
Re 0.5000 0.5000 0.0000  8 Tl 2.95-3.05, 4 Sc 3.05
Sc 0.2500 0.7500 0.5000  8 Tl 2.95-3.05, 4 Re 3.05
Tl 0.0000 0.0000 0.0000  4 Re 2.95, 4 Tl 3.05, 4 Sc 3.05
Tl 0.7500 0.2500 0.5000  4 Sc 2.95, 4 Tl 3.05, 4 Re 3.05

***

# 2
Computed, not measured: ScTl2Re after structural relaxation at the PBEsol level of DFT.

Properties
- formation energy from the elements (kcal/mol of atoms) = 9.0
- calculated volume (Å³/cell) = 80
- distance to the lowest polymorph of the same formula (eV per atom) = 0.0483

abc: 3.4330 4.7145 5.7322
angles: 114.33 107.42 90.00
Last column: nearest neighbours and their distance in Å.
Fractional coordinates of all 4 atoms:
Re 0.5107 0.5106 0.0215  2 Sc 2.69, 6 Tl 2.92-2.93
Sc 0.2208 0.7209 0.4415  2 Re 2.69, 4 Tl 2.96
Tl 0.9989 0.9988 0.9979  4 Re 2.92, 3 Tl 3.17-3.27, 4 Sc 3.22-3.24
Tl 0.7696 0.2697 0.5391  2 Re 2.93, 4 Sc 2.96, 4 Tl 3.17-3.27

***

# 3
Computed, not measured: ScTl2Re after structural relaxation at the PBEsol level of DFT.

Properties
- formation energy from the elements (kcal/mol of atoms) = 10.7
- calculated volume (Å³/cell) = 80
- distance to the lowest polymorph of the same formula (eV per atom) = 0.1212

abc: 3.1457 4.4708 5.8903
angles: 90.00 104.44 90.00
Last column: nearest neighbours and their distance in Å.
Fractional coordinates of all 4 atoms:
Re 0.0193 0.0000 0.5011  2 Sc 2.79, 4 Tl 2.85-3.04
Sc 0.4387 0.5000 0.7392  2 Re 2.79, 4 Tl 2.81-3.10
Tl 0.0209 0.0000 0.9852  2 Re 2.85-3.04, 4 Tl 3.01-3.15, 4 Sc 3.02-3.13
Tl 0.5212 0.5000 0.2745  2 Sc 2.81-3.10, 2 Re 2.86, 4 Tl 3.01-3.15

***

# 4
Computed, not measured: ScTlRe2 after structural relaxation at the PBEsol level of DFT.

Properties
- formation energy from the elements (kcal/mol of atoms) = 15.4
- calculated volume (Å³/cell) = 70
- distance to the lowest polymorph of the same formula (eV per atom) = 0.3523

abc: 2.9116 2.9116 9.6751
angles: 81.35 81.35 60.00
Last column: nearest neighbours and their distance in Å.
Fractional coordinates of all 4 atoms:
Re 0.2467 0.2467 0.2600  3 Sc 2.84, 6 Re 2.91, 3 Tl 2.99
Re 0.7533 0.7533 0.7400  3 Sc 2.84, 6 Re 2.91, 3 Tl 2.99
Sc 0.5000 0.5000 0.5000  6 Re 2.84, 6 Sc 2.91
Tl 0.0000 0.0000 0.0000  6 Tl 2.91, 6 Re 2.99

***

# 5
Computed, not measured: Sc3ReW after structural relaxation at the PBEsol level of DFT.

Properties
- formation energy from the elements (kcal/mol of atoms) = 33.6
- calculated volume (Å³/cell) = 112

abc: 4.8228 4.8228 4.8228
angles: 90.00 90.00 90.00
Last column: nearest neighbours and their distance in Å.
Fractional coordinates of all 5 atoms:
Sc 0.0000 0.5000 0.0000  2 W 2.41
Sc 0.0000 0.0000 0.5000  2 W 2.41
Sc 0.5000 0.0000 0.0000  2 W 2.41
Re 0.5000 0.5000 0.5000  12 Sc 3.41
W 0.0000 0.0000 0.0000  6 Sc 2.41

***

# 6
Computed, not measured: ScRe2W after structural relaxation at the PBEsol level of DFT.

Properties
- formation energy from the elements (kcal/mol of atoms) = 1.5
- calculated volume (Å³/cell) = 62

abc: 3.1119 4.4067 4.5278
angles: 90.00 90.00 90.00
Last column: nearest neighbours and their distance in Å.
Fractional coordinates of all 4 atoms:
Re 0.0000 0.0000 0.0000  4 Sc 2.70, 4 Re 2.75
Re 0.5000 0.0000 0.5000  4 W 2.70, 4 Re 2.75
Sc 0.5000 0.5000 0.0000  4 Re 2.70, 4 W 2.75
W 0.0000 0.5000 0.5000  4 Re 2.70, 4 Sc 2.75

***

# 7
Computed, not measured: YScRe4 after structural relaxation at the PBEsol level of DFT.

Properties
- formation energy from the elements (kcal/mol of atoms) = -5.2
- calculated volume (Å³/cell) = 105

abc: 5.3009 5.3009 5.3009
angles: 60.00 60.00 60.00
Last column: nearest neighbours and their distance in Å.
Fractional coordinates of all 6 atoms:
Re 0.3752 0.3752 0.3752  6 Re 2.65-2.66
Re 0.3752 0.3752 0.8744  6 Re 2.65-2.66
Re 0.8744 0.3752 0.3752  6 Re 2.65-2.66
Re 0.3752 0.8744 0.3752  6 Re 2.65-2.66
Sc 0.7500 0.7500 0.7500  12 Re 3.11, 4 Y 3.25
Y 0.0000 0.0000 0.0000  12 Re 3.11, 4 Sc 3.25

***

# 8
Computed, not measured: YScRe after structural relaxation at the PBEsol level of DFT.

Properties
- formation energy from the elements (kcal/mol of atoms) = 8.0
- calculated volume (Å³/cell) = 65
- distance to the lowest polymorph of the same formula (eV per atom) = 0.0000

abc: 3.2560 3.2560 7.1047
angles: 90.00 90.00 120.00
Last column: nearest neighbours and their distance in Å.
Fractional coordinates of all 3 atoms:
Re 0.0000 0.0000 0.9901  3 Sc 2.68, 3 Y 2.83
Sc 0.3333 0.6667 0.7221  3 Re 2.68
Y 0.6667 0.3333 0.2878  3 Re 2.83

***

# 9
Computed, not measured: YScRe after structural relaxation at the PBEsol level of DFT.

Properties
- formation energy from the elements (kcal/mol of atoms) = 8.5
- calculated volume (Å³/cell) = 69
- distance to the lowest polymorph of the same formula (eV per atom) = 0.0211

abc: 4.5955 4.5955 4.5955
angles: 60.00 60.00 60.00
Last column: nearest neighbours and their distance in Å.
Fractional coordinates of all 3 atoms:
Re 0.2500 0.2500 0.2500  4 Sc 2.81, 4 Y 2.81
Sc 0.0000 0.0000 0.0000  4 Re 2.81
Y 0.5000 0.5000 0.5000  4 Re 2.81

***

# 10
Computed, not measured: Sc2ZnRe after structural relaxation at the PBEsol level of DFT.

Properties
- formation energy from the elements (kcal/mol of atoms) = 3.0
- calculated volume (Å³/cell) = 69

abc: 2.8204 4.7298 5.4776
angles: 96.18 90.00 107.35
Last column: nearest neighbours and their distance in Å.
Fractional coordinates of all 4 atoms:
Re 0.5000 0.0000 0.0000  6 Sc 2.74-2.87, 2 Re 2.82
Sc 0.7486 0.4972 0.7567  3 Re 2.74-2.87, 3 Zn 2.80-2.88, 4 Sc 2.82-3.01
Sc 0.2514 0.5028 0.2433  3 Re 2.74-2.87, 3 Zn 2.80-2.88, 4 Sc 2.82-3.01
Zn 0.0000 0.0000 0.5000  6 Sc 2.80-2.88, 2 Zn 2.82, 4 Re 3.08

***

# 11
Computed, not measured: Sc2ZnRe after structural relaxation at the PBEsol level of DFT.

Properties
- formation energy from the elements (kcal/mol of atoms) = 5.5
- calculated volume (Å³/cell) = 70

abc: 2.9161 2.9161 9.7146
angles: 81.37 81.37 60.00
Last column: nearest neighbours and their distance in Å.
Fractional coordinates of all 4 atoms:
Re 0.2455 0.2455 0.2634  3 Zn 2.70, 3 Sc 2.86, 6 Re 2.92
Sc 0.9926 0.9926 0.0221  3 Re 2.86, 6 Sc 2.92
Sc 0.7564 0.7564 0.7309  3 Zn 2.90, 6 Sc 2.92
Zn 0.5055 0.5055 0.4836  3 Re 2.70, 3 Sc 2.90, 6 Zn 2.92

***

# 12
Computed, not measured: ScZnRe2 after structural relaxation at the PBEsol level of DFT.

Properties
- formation energy from the elements (kcal/mol of atoms) = 2.0
- calculated volume (Å³/cell) = 63

abc: 3.2246 4.4373 5.1634
angles: 115.31 108.20 90.00
Last column: nearest neighbours and their distance in Å.
Fractional coordinates of all 4 atoms:
Re 0.9865 0.9869 0.9729  2 Re 2.49, 2 Zn 2.72, 4 Sc 2.75
Re 0.2701 0.7699 0.5402  2 Re 2.49, 4 Zn 2.76
Sc 0.5074 0.5075 0.0148  8 Re 2.75-3.05, 4 Zn 2.87-2.99
Zn 0.7360 0.2357 0.4720  6 Re 2.72-2.76, 4 Sc 2.87-2.99

***

# 13
Computed, not measured: ScZn4Re after structural relaxation at the PBEsol level of DFT.

Properties
- formation energy from the elements (kcal/mol of atoms) = -3.0
- calculated volume (Å³/cell) = 85

abc: 4.9369 4.9369 4.9369
angles: 60.00 60.00 60.00
Last column: nearest neighbours and their distance in Å.
Fractional coordinates of all 6 atoms:
Re 0.2500 0.2500 0.2500  12 Zn 2.89, 4 Sc 3.02
Sc 0.0000 0.0000 0.0000  12 Zn 2.90, 4 Re 3.02
Zn 0.6242 0.6242 0.1273  6 Zn 2.45-2.48
Zn 0.1273 0.6242 0.6242  6 Zn 2.45-2.48
Zn 0.6242 0.1273 0.6242  6 Zn 2.45-2.48
Zn 0.6242 0.6242 0.6242  6 Zn 2.45-2.48

***

# 14
Computed, not measured: ScZnRe2 after structural relaxation at the PBEsol level of DFT.

Properties
- formation energy from the elements (kcal/mol of atoms) = -1.0
- calculated volume (Å³/cell) = 61

abc: 4.4090 4.4090 4.4090
angles: 60.00 60.00 60.00
Last column: nearest neighbours and their distance in Å.
Fractional coordinates of all 4 atoms:
Re 0.0000 0.0000 0.0000  4 Zn 2.70, 4 Re 2.70
Re 0.7500 0.7500 0.7500  4 Re 2.70, 4 Sc 2.70
Sc 0.5000 0.5000 0.5000  4 Re 2.70, 4 Zn 2.70
Zn 0.2500 0.2500 0.2500  4 Sc 2.70, 4 Re 2.70

***

# 15
Computed, not measured: ScZnRe2 after structural relaxation at the PBEsol level of DFT.

Properties
- formation energy from the elements (kcal/mol of atoms) = 3.3
- calculated volume (Å³/cell) = 62

abc: 2.7272 2.7272 8.9089
angles: 90.00 90.00 109.50
Last column: nearest neighbours and their distance in Å.
Fractional coordinates of all 4 atoms:
Re 0.0000 0.0000 0.9944  6 Re 2.61-2.73, 2 Zn 2.69
Re 0.5000 0.5000 0.7601  6 Re 2.61-2.73, 2 Sc 2.76
Sc 0.0000 0.0000 0.5062  4 Sc 2.73, 2 Re 2.76, 2 Zn 2.85
Zn 0.5000 0.5000 0.2393  2 Re 2.69, 4 Zn 2.73, 2 Sc 2.85